First-principles (PBE) data for a relaxed structure of Ce4HfN5, as listed in Alexandria. Values from VASP.

Computed properties:
* formation energy (no corrections): -1.508 eV per atom
* DOS at the Fermi energy: 1.008 states/eV/atom
* crystal system: tetragonal

The structure in Quantum ESPRESSO input format:
```
&SYSTEM
  ibrav = 0, nat = 10, ntyp = 3
/
ATOMIC_SPECIES
Ce 140.12 Ce.upf
N 14.01 N.upf
Hf 178.49 Hf.upf
ATOMIC_POSITIONS crystal
Ce 0.199 0.199 0.398
Ce 0.403 0.403 0.806
Ce 0.597 0.597 0.194
Ce 0.801 0.801 0.602
N 0.500 0.500 0.000
N 0.910 0.910 0.820
N 0.301 0.301 0.602
N 0.090 0.090 0.180
N 0.699 0.699 0.398
Hf 0.000 0.000 0.000
CELL_PARAMETERS angstrom
0.083 -3.132 -1.565
3.314 -0.434 1.045
-5.686 -3.538 10.697
```